# 1
First-principles (PBE) data for crystalline Nb2SnMoH at its relaxed geometry, as listed in Alexandria.

Computed properties:
Total magnetic moment = 0.0 μB per formula unit
Final energy = -7.7501 eV per atom

Cell: 4.225 4.225 4.175 Å, 90.00 90.00 90.00°
Atoms (fractional coordinates):
H1 0.000 0.000 0.000
Mo1 0.000 0.000 0.500
Sn1 0.500 0.500 0.500
Nb1 0.000 0.500 0.000
Nb2 0.500 0.000 0.000

***

# 2
First-principles (PBE) data for crystalline TaNb2MoH at its relaxed geometry, as listed in Alexandria.

Computed properties:
Polymorph energy (0 for the lowest one) = 107 meV per atom
Total magnetic moment = 0.0 μB per formula unit

Cell: 3.914 3.914 4.835 Å, 90.00 90.00 90.00°
Atoms (fractional coordinates):
H1 0.000 0.000 0.000
Mo1 0.500 0.500 0.500
Nb1 0.000 0.500 0.000
Nb2 0.500 0.000 0.000
Ta1 0.000 0.000 0.500

***

# 3
First-principles (PBE) data for crystalline TaNb2MoH at its relaxed geometry, as listed in Alexandria.

Computed properties:
Polymorph energy (0 for the lowest one) = 0 meV per atom
Total magnetic moment = 0.0 μB per formula unit

Cell: 4.586 4.586 3.485 Å, 90.00 90.00 90.00°
Atoms (fractional coordinates):
H1 0.000 0.000 0.000
Mo1 0.000 0.000 0.500
Nb1 0.000 0.500 0.000
Nb2 0.500 0.000 0.000
Ta1 0.500 0.500 0.500

***

# 4
First-principles (PBE) data for crystalline Nb2TcMoH at its relaxed geometry, as listed in Alexandria.

Computed properties:
Polymorph energy (0 for the lowest one) = 6 meV per atom
Total magnetic moment = 0.0 μB per formula unit

Cell: 4.536 4.536 3.385 Å, 90.00 90.00 90.00°
Atoms (fractional coordinates):
H1 0.000 0.000 0.000
Mo1 0.000 0.000 0.500
Tc1 0.500 0.500 0.500
Nb1 0.000 0.500 0.000
Nb2 0.500 0.000 0.000